(1)
VPdPtW2 | PBE | relaxed

Computed properties:
calculated density	11.546	g/cm3
energy relative to the elements	2121	meV per atom
total energy	-7.131	eV per atom

```
5
Lattice="-2.101 -2.048 -3.607 3.341 -3.433 0.002 -2.586 -2.515 2.934" Properties=species:S:1:pos:R:3 pbc="T T T"
Pd 0.000 0.000 0.000
W -1.293 -1.257 1.467
W -1.051 -1.024 -1.803
Pt 1.671 -1.716 0.001
V -0.673 -3.998 -0.335
```

---

(2)
Ti2AlInFe | PBE | relaxed

Computed properties:
calculated density	4.341	g/cm3
energy relative to the elements	1357	meV per atom
total energy	-4.789	eV per atom

```
5
Lattice="-3.345 2.301 -2.810 -3.384 -2.070 2.335 -0.097 3.763 3.196" Properties=species:S:1:pos:R:3 pbc="T T T"
Al -3.413 1.997 1.360
Ti -0.048 1.881 1.598
Ti -1.673 1.150 -1.405
Fe -1.692 -1.035 1.167
In 0.000 0.000 0.000
```

---

(3)
LiTmUSe4 | PBE | relaxed

Computed properties:
calculated density	6.137	g/cm3
total energy	-5.954	eV per atom
formation energy (no corrections)	-1437.7	meV per atom

```
14
Lattice="8.352 0.000 0.000 4.176 7.088 0.127 4.176 2.280 6.712" Properties=species:S:1:pos:R:3 pbc="T T T"
Li 8.352 4.783 0.968
Li 8.352 4.585 5.871
Tm 0.000 0.000 0.000
Tm 4.176 4.684 3.419
U 6.264 1.140 3.356
U 2.088 1.140 3.356
Se 12.528 7.034 5.018
Se 8.352 7.129 5.087
Se 8.352 2.238 1.752
Se 4.176 2.333 1.821
Se 6.146 5.946 1.817
Se 10.558 5.946 1.817
Se 6.146 3.421 5.022
Se 10.558 3.421 5.022
```

---

(4)
Sr3DyRh8 | PBE | relaxed

Computed properties:
calculated density	9.076	g/cm3
energy relative to the elements	-385	meV per atom
total energy	-6.090	eV per atom

```
12
Lattice="5.209 0.000 1.573 2.367 4.640 1.573 -0.010 -0.006 9.447" Properties=species:S:1:pos:R:3 pbc="T T T"
Sr 2.829 1.733 9.456
Sr 0.000 0.000 9.415
Sr 3.773 2.311 6.330
Dy 6.626 4.058 6.295
Rh 5.890 2.025 3.988
Rh 4.524 4.348 8.601
Rh 3.306 2.025 3.208
Rh 7.100 4.348 9.379
Rh 1.418 0.869 4.717
Rh 5.200 3.185 11.018
Rh 4.480 4.326 3.988
Rh 5.929 2.054 8.601
```

---

| no. | D(E_F) (states/eV/f.u.) | V (A^3/atom) |
| --- | --- | --- |
| 1 | 7.96 | 20.7 |
| 2 | 7.21 | 22.4 |
| 3 | 4.21 | 28.2 |
| 4 | 13.94 | 19.0 |